# 1
# Nd8Er3Sc2 | Alexandria via LeMat-Bulk | PBE | optimized geometry
# **SG**: C2/m
# **Energy above the lowest structure with this stoichiometry**: 5 meV per atom
# **DFT total energy**: -61.7 eV per cell
# **ΔE_f**: 2.809 eV/f.u.
data_Nd8Er3Sc2
_chemical_formula_sum 'Nd8 Er3 Sc2'
_symmetry_space_group_name_H-M 'P 1'
_symmetry_Int_Tables_number 1
_cell_length_a 8.866
_cell_length_b 8.866
_cell_length_c 6.757
_cell_angle_alpha 106.25
_cell_angle_beta 106.25
_cell_angle_gamma 62.77
loop_
_symmetry_equiv_pos_as_xyz
'x,y,z'
loop_
_atom_site_label
_atom_site_type_symbol
_atom_site_fract_x
_atom_site_fract_y
_atom_site_fract_z
Nd1 Nd 0.059 0.696 0.306
Nd2 Nd 0.100 0.100 0.209
Nd3 Nd 0.304 0.941 0.694
Nd4 Nd 0.312 0.312 0.612
Nd5 Nd 0.688 0.688 0.388
Nd6 Nd 0.696 0.059 0.306
Nd7 Nd 0.900 0.900 0.791
Nd8 Nd 0.941 0.304 0.694
Er1 Er 0.332 0.668 0.000
Er2 Er 0.500 0.500 0.500
Er3 Er 0.668 0.332 0.000
Sc1 Sc 0.308 0.308 0.083
Sc2 Sc 0.692 0.692 0.917


# 2
# Li2HoAsO | Alexandria via LeMat-Bulk | PBE | optimized geometry
# **Formation energy from raw total energies**: -1.75 eV/atom
# **SG**: P4/mmm
# **DFT total energy**: -26.8 eV per cell
data_Li2HoAsO
_chemical_formula_sum 'Li2 Ho1 As1 O1'
_symmetry_space_group_name_H-M 'P 1'
_symmetry_Int_Tables_number 1
_cell_length_a 4.100
_cell_length_b 4.100
_cell_length_c 4.557
_cell_angle_alpha 90.00
_cell_angle_beta 90.00
_cell_angle_gamma 90.00
loop_
_symmetry_equiv_pos_as_xyz
'x,y,z'
loop_
_atom_site_label
_atom_site_type_symbol
_atom_site_fract_x
_atom_site_fract_y
_atom_site_fract_z
Li1 Li 0.000 0.500 0.000
Li2 Li 0.500 0.000 0.000
Ho1 Ho 0.000 0.000 0.500
As1 As 0.500 0.500 0.500
O1 O 0.000 0.000 0.000


# 3
# CdCu3 | Alexandria via LeMat-Bulk | PBE | optimized geometry
# **SG**: C2/m
# **DFT total energy**: -12.8 eV per cell
# **ΔE_f**: 0.360 eV/f.u.
data_CdCu3
_chemical_formula_sum 'Cd1 Cu3'
_symmetry_space_group_name_H-M 'P 1'
_symmetry_Int_Tables_number 1
_cell_length_a 4.625
_cell_length_b 4.625
_cell_length_c 4.664
_cell_angle_alpha 101.62
_cell_angle_beta 101.62
_cell_angle_gamma 35.76
loop_
_symmetry_equiv_pos_as_xyz
'x,y,z'
loop_
_atom_site_label
_atom_site_type_symbol
_atom_site_fract_x
_atom_site_fract_y
_atom_site_fract_z
Cd1 Cd 0.000 0.000 0.000
Cu1 Cu 0.242 0.242 0.725
Cu2 Cu 0.500 0.500 0.500
Cu3 Cu 0.758 0.758 0.275


# 4
# PrNdDyHo | Alexandria via LeMat-Bulk | PBE | optimized geometry
# **SG**: I-4m2
# **Energy above the lowest structure with this stoichiometry**: 0 meV per atom
# **DFT total energy**: -18.6 eV per cell
# **ΔE_f**: 0.079 eV/f.u.
data_PrNdDyHo
_chemical_formula_sum 'Pr1 Nd1 Dy1 Ho1'
_symmetry_space_group_name_H-M 'P 1'
_symmetry_Int_Tables_number 1
_cell_length_a 6.257
_cell_length_b 6.257
_cell_length_c 6.257
_cell_angle_alpha 131.70
_cell_angle_beta 131.70
_cell_angle_gamma 70.71
loop_
_symmetry_equiv_pos_as_xyz
'x,y,z'
loop_
_atom_site_label
_atom_site_type_symbol
_atom_site_fract_x
_atom_site_fract_y
_atom_site_fract_z
Pr1 Pr 0.000 0.000 0.000
Nd1 Nd 0.250 0.750 0.500
Dy1 Dy 0.750 0.250 0.500
Ho1 Ho 0.500 0.500 0.000


# 5
# CrRhBr2 | Alexandria via LeMat-Bulk | PBE | optimized geometry
# **Formation energy from raw total energies**: 0.26 eV/atom
# **SG**: P4mm
# **Energy above the lowest structure with this stoichiometry**: 330 meV per atom
# **DFT total energy**: -19.3 eV per cell
data_CrRhBr2
_chemical_formula_sum 'Cr1 Rh1 Br2'
_symmetry_space_group_name_H-M 'P 1'
_symmetry_Int_Tables_number 1
_cell_length_a 3.006
_cell_length_b 3.006
_cell_length_c 8.671
_cell_angle_alpha 90.00
_cell_angle_beta 90.00
_cell_angle_gamma 90.00
loop_
_symmetry_equiv_pos_as_xyz
'x,y,z'
loop_
_atom_site_label
_atom_site_type_symbol
_atom_site_fract_x
_atom_site_fract_y
_atom_site_fract_z
Cr1 Cr 0.000 0.000 0.000
Rh1 Rh 0.500 0.500 0.176
Br1 Br 0.000 0.000 0.400
Br2 Br 0.500 0.500 0.818


# 6
# CsNbIr3 | Alexandria via LeMat-Bulk | PBE | optimized geometry
# **SG**: Pm-3m
# **Energy above the lowest structure with this stoichiometry**: 1801 meV per atom
# **DFT total energy**: -21.9 eV per cell
# **ΔE_f**: 15.581 eV/f.u.
data_CsNbIr3
_chemical_formula_sum 'Cs1 Nb1 Ir3'
_symmetry_space_group_name_H-M 'P 1'
_symmetry_Int_Tables_number 1
_cell_length_a 4.888
_cell_length_b 4.888
_cell_length_c 4.888
_cell_angle_alpha 90.00
_cell_angle_beta 90.00
_cell_angle_gamma 90.00
loop_
_symmetry_equiv_pos_as_xyz
'x,y,z'
loop_
_atom_site_label
_atom_site_type_symbol
_atom_site_fract_x
_atom_site_fract_y
_atom_site_fract_z
Cs1 Cs 0.000 0.000 0.000
Nb1 Nb 0.500 0.500 0.500
Ir1 Ir 0.000 0.000 0.500
Ir2 Ir 0.000 0.500 0.000
Ir3 Ir 0.500 0.000 0.000


# 7
# NdAl12Pt4 | Alexandria via LeMat-Bulk | PBE | optimized geometry
# **SG**: Im-3
# **DFT total energy**: -80.3 eV per cell
# **ΔE_f**: -6.436 eV/f.u.
data_NdAl12Pt4
_chemical_formula_sum 'Nd1 Al12 Pt4'
_symmetry_space_group_name_H-M 'P 1'
_symmetry_Int_Tables_number 1
_cell_length_a 7.624
_cell_length_b 7.624
_cell_length_c 7.624
_cell_angle_alpha 109.47
_cell_angle_beta 109.47
_cell_angle_gamma 109.47
loop_
_symmetry_equiv_pos_as_xyz
'x,y,z'
loop_
_atom_site_label
_atom_site_type_symbol
_atom_site_fract_x
_atom_site_fract_y
_atom_site_fract_z
Nd1 Nd 0.000 0.000 0.000
Al1 Al 0.161 0.504 0.343
Al2 Al 0.161 0.818 0.657
Al3 Al 0.182 0.343 0.839
Al4 Al 0.343 0.161 0.504
Al5 Al 0.343 0.839 0.182
Al6 Al 0.496 0.657 0.839
Al7 Al 0.504 0.343 0.161
Al8 Al 0.657 0.161 0.818
Al9 Al 0.657 0.839 0.496
Al10 Al 0.818 0.657 0.161
Al11 Al 0.839 0.182 0.343
Al12 Al 0.839 0.496 0.657
Pt1 Pt 0.000 0.000 0.500
Pt2 Pt 0.000 0.500 0.000
Pt3 Pt 0.500 0.000 0.000
Pt4 Pt 0.500 0.500 0.500


# 8
# Na2CeTlS4 | Alexandria via LeMat-Bulk | PBE | optimized geometry
# **Formation energy from raw total energies**: -1.16 eV/atom
# **SG**: P2/m
# **DFT total energy**: -36.7 eV per cell
data_Na2CeTlS4
_chemical_formula_sum 'Na2 Ce1 Tl1 S4'
_symmetry_space_group_name_H-M 'P 1'
_symmetry_Int_Tables_number 1
_cell_length_a 7.092
_cell_length_b 4.075
_cell_length_c 7.113
_cell_angle_alpha 90.00
_cell_angle_beta 109.74
_cell_angle_gamma 90.00
loop_
_symmetry_equiv_pos_as_xyz
'x,y,z'
loop_
_atom_site_label
_atom_site_type_symbol
_atom_site_fract_x
_atom_site_fract_y
_atom_site_fract_z
Na1 Na 0.000 0.000 0.000
Na2 Na 0.000 0.500 0.500
Ce1 Ce 0.500 0.000 0.500
Tl1 Tl 0.500 0.500 0.000
S1 S 0.267 0.000 0.741
S2 S 0.267 0.500 0.270
S3 S 0.733 0.000 0.259
S4 S 0.733 0.500 0.730